[1]
Computed, not measured: a crystal of YSnSbI2 relaxed with PBEsol at the meta-GGA SCAN level of DFT.

POSCAR file:
```
YSnSbI2
1.0
5.693 0.000 0.000
0.000 5.693 0.000
0.000 0.000 6.047
Y Sn Sb I
1 1 1 2
Direct
0.000 0.000 0.000
0.500 0.500 0.500
0.000 0.000 0.500
0.000 0.500 0.000
0.500 0.000 0.000
```

SG	P4/mmm, No. 123

[2]
Computed, not measured: a crystal of ZrSnSb2I relaxed with PBEsol at the meta-GGA SCAN level of DFT.

POSCAR file:
```
ZrSnSb2I
1.0
5.473 0.000 0.000
0.000 5.473 0.000
0.000 0.000 5.586
Zr Sn Sb I
1 1 2 1
Direct
0.000 0.000 0.000
0.500 0.500 0.500
0.000 0.500 0.500
0.500 0.000 0.500
0.500 0.500 0.000
```

SG	P4/mmm, No. 123

[3]
Computed, not measured: a crystal of SrSbTe2I relaxed with PBEsol at the meta-GGA SCAN level of DFT.

POSCAR file:
```
SrSbTe2I
1.0
5.774 0.000 0.000
0.000 5.774 0.000
0.000 0.000 5.750
Sr Sb Te I
1 1 2 1
Direct
0.000 0.000 0.000
0.500 0.500 0.500
0.000 0.500 0.500
0.500 0.000 0.500
0.500 0.500 0.000
```

SG	P4/mmm, No. 123

[4]
Computed, not measured: a crystal of SrSb2TeI relaxed with PBEsol at the meta-GGA SCAN level of DFT.

POSCAR file:
```
SrSb2TeI
1.0
6.106 0.000 0.000
0.000 6.106 0.000
0.000 0.000 5.747
Sr Sb Te I
1 2 1 1
Direct
0.000 0.000 0.000
0.000 0.500 0.000
0.500 0.000 0.000
0.500 0.500 0.500
0.000 0.000 0.500
```

SG	P4/mmm, No. 123

[5]
Computed, not measured: a crystal of TaTcSbI2 relaxed with PBEsol at the meta-GGA SCAN level of DFT.

POSCAR file:
```
TaTcSbI2
1.0
5.200 0.000 0.000
0.000 5.200 0.000
0.000 0.000 5.058
Ta Tc Sb I
1 1 1 2
Direct
0.000 0.000 0.000
0.500 0.500 0.500
0.500 0.500 0.000
0.000 0.500 0.500
0.500 0.000 0.500
```

SG	P4/mmm, No. 123

[6]
Computed, not measured: a crystal of TaSbTeI2 relaxed with PBEsol at the meta-GGA SCAN level of DFT.

POSCAR file:
```
TaSbTeI2
1.0
5.679 0.000 0.000
0.000 5.679 0.000
0.000 0.000 5.794
Ta Sb Te I
1 1 1 2
Direct
0.000 0.000 0.000
0.500 0.500 0.000
0.500 0.500 0.500
0.000 0.500 0.500
0.500 0.000 0.500
```

SG	P4/mmm, No. 123
energy above the lowest structure with this stoichiometry	970.0	meV/atom

[7]
Computed, not measured: a crystal of TaSbTeI2 relaxed with PBEsol at the meta-GGA SCAN level of DFT.

POSCAR file:
```
TaSbTeI2
1.0
5.366 0.000 0.000
0.000 5.366 0.000
0.000 0.000 5.412
Ta Sb Te I
1 1 1 2
Direct
0.000 0.000 0.000
0.500 0.500 0.500
0.000 0.000 0.500
0.000 0.500 0.000
0.500 0.000 0.000
```

SG	P4/mmm, No. 123
energy above the lowest structure with this stoichiometry	0.0	meV/atom

[8]
Computed, not measured: a crystal of TaTiSb2I relaxed with PBEsol at the meta-GGA SCAN level of DFT.

POSCAR file:
```
TaTiSb2I
1.0
5.277 0.000 0.000
0.000 5.277 0.000
0.000 0.000 5.481
Ta Ti Sb I
1 1 2 1
Direct
0.000 0.000 0.000
0.500 0.500 0.500
0.000 0.500 0.000
0.500 0.000 0.000
0.000 0.000 0.500
```

SG	P4/mmm, No. 123

[9]
Computed, not measured: a crystal of YTaSbI2 relaxed with PBEsol at the meta-GGA SCAN level of DFT.

POSCAR file:
```
YTaSbI2
1.0
5.624 0.000 0.000
0.000 5.624 0.000
0.000 0.000 5.995
Y Ta Sb I
1 1 1 2
Direct
0.000 0.000 0.000
0.500 0.500 0.500
0.000 0.000 0.500
0.000 0.500 0.000
0.500 0.000 0.000
```

SG	P4/mmm, No. 123

[10]
Computed, not measured: a crystal of TaZnSb2I relaxed with PBEsol at the meta-GGA SCAN level of DFT.

POSCAR file:
```
TaZnSb2I
1.0
5.304 0.000 0.000
0.000 5.304 0.000
0.000 0.000 5.528
Ta Zn Sb I
1 1 2 1
Direct
0.000 0.000 0.000
0.500 0.500 0.500
0.000 0.500 0.000
0.500 0.000 0.000
0.000 0.000 0.500
```

SG	P4/mmm, No. 123

[11]
Computed, not measured: a crystal of Tc3SbI relaxed with PBEsol at the meta-GGA SCAN level of DFT.

POSCAR file:
```
Tc3SbI
1.0
4.783 0.000 0.000
0.000 4.783 0.000
0.000 0.000 4.783
Tc Sb I
3 1 1
Direct
0.000 0.000 0.500
0.000 0.500 0.000
0.500 0.000 0.000
0.500 0.500 0.500
0.000 0.000 0.000
```

SG	Pm-3m, No. 221

[12]
Computed, not measured: a crystal of TcSbWI2 relaxed with PBEsol at the meta-GGA SCAN level of DFT.

POSCAR file:
```
TcSbWI2
1.0
5.246 0.000 0.000
0.000 5.246 0.000
0.000 0.000 5.076
Tc Sb W I
1 1 1 2
Direct
0.000 0.000 0.000
0.000 0.000 0.500
0.500 0.500 0.500
0.000 0.500 0.000
0.500 0.000 0.000
```

SG	P4/mmm, No. 123

Number 1: DOS(E_F) 2.491 states/eV per cell, ΔE_f (raw) -0.24 eV/atom. Number 2: DOS(E_F) 2.883 states/eV per cell, ΔE_f (raw) 0.87 eV/atom. Number 3: DOS(E_F) 2.181 states/eV per cell, ΔE_f (raw) -0.54 eV/atom. Number 4: DOS(E_F) 5.745 states/eV per cell, ΔE_f (raw) 0.56 eV/atom. Number 5: DOS(E_F) 4.893 states/eV per cell, ΔE_f (raw) 1.51 eV/atom. Number 6: DOS(E_F) 7.745 states/eV per cell, ΔE_f (raw) 1.54 eV/atom. Number 7: DOS(E_F) 4.139 states/eV per cell, ΔE_f (raw) 0.57 eV/atom. Number 8: DOS(E_F) 3.455 states/eV per cell, ΔE_f (raw) 0.80 eV/atom. Number 9: DOS(E_F) 6.113 states/eV per cell, ΔE_f (raw) 0.78 eV/atom. Number 10: DOS(E_F) 3.126 states/eV per cell, ΔE_f (raw) 0.58 eV/atom. Number 11: DOS(E_F) 5.253 states/eV per cell, ΔE_f (raw) 1.97 eV/atom. Number 12: DOS(E_F) 4.565 states/eV per cell, ΔE_f (raw) 1.75 eV/atom.